VASP calculation (PBE-GGA) on a relaxed Rb2TaAgBr6 crystal.

Values from the calculation:
- Space group: Fm-3m
- Total magnetic moment: 2.00 μB per formula unit
- E: -3.65 eV/atom
- Density: 4767 kg/m3

Unit cell a=7.734 b=7.734 c=7.734 alpha=60.00 beta=60.00 gamma=60.00
Sites, in units of the cell vectors:
Rb: 0.250 0.250 0.250
Rb: 0.750 0.750 0.750
Ta: 0.000 0.000 0.000
Ag: 0.500 0.500 0.500
Br: 0.241 0.241 0.759
Br: 0.241 0.759 0.241
Br: 0.241 0.759 0.759
Br: 0.759 0.241 0.241
Br: 0.759 0.241 0.759
Br: 0.759 0.759 0.241